# Ac3Ga7Rh2, relaxed, DFT GGA-PBE
data_Ac3Ga7Rh2
_chemical_formula_sum 'Ac3 Ga7 Rh2'
_cell_length_a 4.578
_cell_length_b 4.510
_cell_length_c 13.701
_cell_angle_alpha 99.52
_cell_angle_beta 90.00
_cell_angle_gamma 90.00
_space_group_name_H-M_alt 'P 1'
_space_group_IT_number 1
loop_
_space_group_symop_operation_xyz
'x,y,z'
loop_
_atom_site_label
_atom_site_type_symbol
_atom_site_fract_x
_atom_site_fract_y
_atom_site_fract_z
Ga1 Ga 0.000 0.413 0.826
Ga2 Ga 0.500 0.723 0.445
Ga3 Ga 0.500 0.914 0.828
Ga4 Ga 0.000 0.000 0.000
Ga5 Ga 0.500 0.277 0.555
Ga6 Ga 0.000 0.587 0.174
Ga7 Ga 0.500 0.086 0.172
Rh1 Rh 0.500 0.371 0.742
Rh2 Rh 0.500 0.629 0.258
Ac1 Ac 0.000 0.819 0.640
Ac2 Ac 0.000 0.181 0.360
Ac3 Ac 0.500 0.500 0.000
# Magnetization in μB per cell: 0.0
# Space group: P2/m
# Density in Mg/m³: 8.2
# Energy of formation from the pure elements in eV per atom: -0.606